1.
A geometry-optimized CdOsBr2 structure, computed with PBE.

Calculated values
As for the energy above the most stable polymorph in this dataset: 734 meV per atom. The value obtained for the density of states at the Fermi level is 0.80 states/eV/atom. The calculated total energy is -11.6 eV per formula unit. The uncorrected formation energy is 0.97 eV/atom.

Unit cell a=5.5660 b=5.5660 c=3.3483 alpha=105.24 beta=105.24 gamma=109.94
Fractional positions:
Cd 0.0000 0.0000 0.0000
Os 0.5000 0.5000 0.0000
Br 0.0000 0.5000 0.0000
Br 0.5000 0.0000 0.0000

=====

2.
A geometry-optimized DyPaCuPd structure, computed with PBE.

Calculated values
The value obtained for the density of states at the Fermi level is 1.54 states/eV/atom. The energy of formation from the pure elements comes out at -23.2 kJ per mole of atoms. The calculated total energy is -24.3 eV per formula unit.

Unit cell a=4.9355 b=4.9355 c=4.9355 alpha=60.00 beta=60.00 gamma=60.00
Fractional positions:
Dy 0.0000 0.0000 0.0000
Pa 0.5000 0.5000 0.5000
Cu 0.7500 0.7500 0.7500
Pd 0.2500 0.2500 0.2500

=====

3.
A geometry-optimized KYSi2 structure, computed with PBE.

Calculated values
As for the energy above the most stable polymorph in this dataset: 11 meV per atom. The value obtained for the density of states at the Fermi level is 0.10 states/eV/atom. The calculated total energy is -19.4 eV per formula unit. The uncorrected formation energy is -0.24 eV/atom.

Unit cell a=3.8525 b=6.9926 c=6.9926 alpha=37.75 beta=90.00 gamma=90.00
Fractional positions:
K 0.0000 0.0000 0.0000
Y 0.5000 0.7424 0.7424
Si 0.0000 0.2634 0.2634
Si 0.5000 0.3762 0.3762

=====

4.
A geometry-optimized SmZnPd2 structure, computed with PBE.

Calculated values
The value obtained for the density of states at the Fermi level is 0.46 states/eV/atom. The energy of formation from the pure elements comes out at -59.6 kJ per mole of atoms. The calculated total energy is -18.8 eV per formula unit.

Unit cell a=3.3709 b=3.3709 c=6.5530 alpha=90.00 beta=90.00 gamma=90.00
Fractional positions:
Sm 0.0000 0.0000 0.0000
Zn 0.0000 0.0000 0.5000
Pd 0.5000 0.5000 0.2886
Pd 0.5000 0.5000 0.7114

=====

5.
A geometry-optimized RbInAsIr2 structure, computed with PBE.

Calculated values
The value obtained for the density of states at the Fermi level is 0.65 states/eV/atom. The energy of formation from the pure elements comes out at 70.9 kJ per mole of atoms. The calculated total energy is -22.4 eV per formula unit.

Unit cell a=4.6681 b=4.6681 c=6.0379 alpha=90.00 beta=90.00 gamma=90.00
Fractional positions:
Rb 0.0000 0.0000 0.0000
In 0.5000 0.5000 0.0000
As 0.0000 0.0000 0.5000
Ir 0.0000 0.5000 0.5000
Ir 0.5000 0.0000 0.5000

=====

6.
A geometry-optimized LaLuInPb structure, computed with PBE.

Calculated values
The value obtained for the density of states at the Fermi level is 0.73 states/eV/atom. The energy of formation from the pure elements comes out at -40.6 kJ per mole of atoms. The calculated total energy is -17.6 eV per formula unit.

Unit cell a=5.4815 b=5.4815 c=5.4815 alpha=60.00 beta=60.00 gamma=60.00
Fractional positions:
La 0.0000 0.0000 0.0000
Lu 0.5000 0.5000 0.5000
In 0.2500 0.2500 0.2500
Pb 0.7500 0.7500 0.7500